1.
Below is a relaxed structure of KAlHg2, with properties calculated at the GGA-PBEsol level.

Cell: 4.5888 4.5888 19.0417 Å, 90.00 90.00 120.00°
Space group R3m (No. 160, hexagonal axes)
Unique sites:
K: 0.0000 0.0000 0.0000
Al: 0.0000 0.0000 0.8163
Hg: 0.0000 0.0000 0.2032
Hg: 0.0000 0.0000 0.4550

formation energy = -0.06 eV/atom
polymorph energy (0 for the lowest one) = 0.000 eV per atom

***

2.
Below is a relaxed structure of KFeTe, with properties calculated at the GGA-PBEsol level.

Cell: 4.4107 4.4107 5.2151 Å, 90.00 90.00 120.00°
Space group P-6m2 (No. 187)
Unique sites:
K: 0.0000 0.0000 0.0000
Fe: 0.6667 0.3333 0.5000
Te: 0.3333 0.6667 0.5000

E_form (uncorrected) = 0.002 eV/atom

***

3.
Below is a relaxed structure of AlFeI2O, with properties calculated at the GGA-PBEsol level.

Cell: 5.509 5.509 3.619 Å, 90.00 90.00 90.00°
Space group P4/mmm (No. 123)
Unique sites:
Al: 0.000 0.000 0.000
Fe: 0.500 0.500 0.500
I: 0.000 0.500 0.500
O: 0.500 0.500 0.000

E_form (uncorrected) = -0.225 eV/atom

***

Repeat the second record exactly.
Below is a relaxed structure of KFeTe, with properties calculated at the GGA-PBEsol level.

Cell: 4.4107 4.4107 5.2151 Å, 90.00 90.00 120.00°
Space group P-6m2 (No. 187)
Unique sites:
K: 0.0000 0.0000 0.0000
Fe: 0.6667 0.3333 0.5000
Te: 0.3333 0.6667 0.5000

E_form (uncorrected) = 0.002 eV/atom